Record 1
The following is a DFT calculation (PBE) of an optimized crystal structure of TlCuN3.

The density of states at the Fermi level is 2.393 states/eV/atom. As for the raw formation energy: 14.5 eV per formula unit. As for the space group: Pm-3m, No. 221. As for the total energy: -3.3938 eV per atom.

abc: 4.2222 4.2222 4.2222
angles: 90.00 90.00 90.00
Last column: nearest neighbours and their distance in Å.
Fractional coordinates of all 5 atoms:
Tl  0.0000  0.0000  0.0000  6 N 2.11
Cu  0.5000  0.5000  0.5000  12 N 2.99
N  0.0000  0.0000  0.5000  2 Tl 2.11
N  0.0000  0.5000  0.0000  2 Tl 2.11
N  0.5000  0.0000  0.0000  2 Tl 2.11

=====

Record 2
The following is a DFT calculation (PBE) of an optimized crystal structure of YTl2CuN.

The density of states at the Fermi level is 1.912 states/eV/atom. As for the raw formation energy: 9.3 eV per formula unit. As for the space group: P4/mmm, No. 123. As for the total energy: -2.8655 eV per atom.

abc: 5.9745 5.9745 5.0515
angles: 90.00 90.00 90.00
Last column: nearest neighbours and their distance in Å.
Fractional coordinates of all 5 atoms:
Y  0.0000  0.0000  0.0000  2 Cu 2.53
Tl  0.0000  0.5000  0.0000  2 Y 2.99
Tl  0.5000  0.0000  0.0000  2 Y 2.99
Cu  0.0000  0.0000  0.5000  2 Y 2.53
N  0.5000  0.5000  0.5000  8 Tl 3.91, 4 Cu 4.22

=====

Record 3
The following is a DFT calculation (PBE) of an optimized crystal structure of ZrTlCu2N.

The density of states at the Fermi level is 0.706 states/eV/atom. As for the raw formation energy: 7.1 eV per formula unit. As for the space group: P4/mmm, No. 123. As for the total energy: -4.0698 eV per atom.

abc: 4.8319 4.8319 4.2045
angles: 90.00 90.00 90.00
Last column: nearest neighbours and their distance in Å.
Fractional coordinates of all 5 atoms:
Zr  0.0000  0.0000  0.0000  8 Cu 3.20, 4 N 3.42
Tl  0.5000  0.5000  0.5000  2 N 2.10
Cu  0.0000  0.5000  0.5000  2 Tl 2.42
Cu  0.5000  0.0000  0.5000  2 Tl 2.42
N  0.5000  0.5000  0.0000  2 Tl 2.10

=====

Record 4
The following is a DFT calculation (PBE) of an optimized crystal structure of Tm3CuN.

The density of states at the Fermi level is 1.374 states/eV/atom. As for the raw formation energy: -3.4 eV per formula unit. As for the space group: Pm-3m, No. 221. As for the total energy: -5.8551 eV per atom.

abc: 4.6564 4.6564 4.6564
angles: 90.00 90.00 90.00
Last column: nearest neighbours and their distance in Å.
Fractional coordinates of all 5 atoms:
Tm  0.0000  0.0000  0.5000  2 N 2.33
Tm  0.0000  0.5000  0.0000  2 N 2.33
Tm  0.5000  0.0000  0.0000  2 N 2.33
Cu  0.5000  0.5000  0.5000  12 Tm 3.29
N  0.0000  0.0000  0.0000  6 Tm 2.33

=====

> Which of these has the lowest raw formation energy?

Tm3CuN

=====

> Look up the raw formation energy of the second one.

9.3 eV per formula unit

=====

> Number 1 is which compound?

TlCuN3

=====

> Number 4 is which compound?

Tm3CuN